Pm3Sc: relaxed, PBE.

The density of states at the Fermi level is 1.588 states/eV per atom. The value obtained for the offset from the most stable computed form is 24.0 meV per atom. Its formation enthalpy at 0 K is 0.061 eV per atom. The calculation puts the total DFT energy (no corrections) at -5.0845 eV per atom. The total magnetization comes out at 0.00 μB per formula unit.

Unit cell a=3.5348 b=25.9241 c=5.6059 alpha=90.00 beta=90.00 gamma=90.00
With the nearest neighbours (Å) after each atom.
Space group Cmcm (No. 63)
Inequivalent atoms, fractional coordinates:
Pm: 0.0000 0.0433 0.2500 x4  2 Sc 3.45, 8 Pm 3.52-3.59
Pm: 0.0000 0.2117 0.7500 x4  5 Sc 3.39-3.60, 4 Pm 3.53-3.62
Pm: 0.0000 0.4104 0.2500 x4  2 Sc 3.31, 8 Pm 3.52-3.62
Sc: 0.0000 0.3423 0.7500 x4  9 Pm 3.31-3.60, 2 Sc 3.53


LiTbPrSm: relaxed, PBE.

The density of states at the Fermi level is 1.125 states/eV per atom. Its formation enthalpy at 0 K is 0.167 eV per atom. The calculation puts the total DFT energy (no corrections) at -3.8435 eV per atom. The total magnetization comes out at 0.00 μB per formula unit.

Unit cell a=7.9117 b=7.9117 c=7.9117 alpha=90.00 beta=90.00 gamma=90.00
With the nearest neighbours (Å) after each atom.
Space group F-43m (No. 216)
Inequivalent atoms, fractional coordinates:
Li: 0.0000 0.0000 0.0000 x4  4 Pr 3.43, 4 Sm 3.43
Tb: 0.0000 0.0000 0.5000 x4  4 Pr 3.43, 4 Sm 3.43
Pr: 0.2500 0.2500 0.2500 x4  4 Tb 3.43, 4 Li 3.43
Sm: 0.2500 0.2500 0.7500 x4  4 Tb 3.43, 4 Li 3.43


HfGaTeI2: relaxed, PBE.

The density of states at the Fermi level is 0.526 states/eV per atom. The value obtained for the offset from the most stable computed form is 0.0 meV per atom. The calculation puts the total DFT energy (no corrections) at -4.0741 eV per atom. The total magnetization comes out at 0.00 μB per formula unit.

Unit cell a=5.7219 b=5.7219 c=5.6040 alpha=90.00 beta=90.00 gamma=90.00
With the nearest neighbours (Å) after each atom.
Space group P4/mmm (No. 123)
Inequivalent atoms, fractional coordinates:
Hf: 0.0000 0.0000 0.0000 x1  2 Te 2.80, 4 I 2.86
Ga: 0.5000 0.5000 0.5000 x1  8 I 4.00, 4 Te 4.05
Te: 0.0000 0.0000 0.5000 x1  2 Hf 2.80
I: 0.0000 0.5000 0.0000 x2  2 Hf 2.86